1.
DFT (PBE-GGA) results for an optimized crystal structure of TcRu3Pt2.

Energy of formation from the pure elements: -0.04 eV/atom
Magnetization: 0.0000 μB per atom
Symmetry: Imma, No. 74

Cell lengths 7.2529, 7.2529, 7.2529 Å; angles 148.91, 73.15, 115.69 degrees
Atoms (fractional coordinates):
Tc  0.3662  0.1162  0.2500
Tc  0.6338  0.8838  0.7500
Ru  0.0367  0.1276  0.9092
Ru  0.1196  0.3696  0.7500
Ru  0.2816  0.8724  0.4092
Ru  0.7184  0.1276  0.5908
Ru  0.8804  0.6304  0.2500
Ru  0.9633  0.8724  0.0908
Pt  0.2101  0.6241  0.5860
Pt  0.4620  0.3759  0.0860
Pt  0.5380  0.6241  0.9140
Pt  0.7899  0.3759  0.4140

---

2.
DFT (PBE-GGA) results for an optimized crystal structure of Y2NiPd.

Energy of formation from the pure elements: 0.41 eV/atom
Magnetization: 0.0000 μB per atom
Symmetry: Immm, No. 71

Cell lengths 6.0846, 6.0846, 6.0846 Å; angles 150.11, 127.19, 61.88 degrees
Atoms (fractional coordinates):
Y  0.2427  0.2427  0.0000
Y  0.7573  0.7573  0.0000
Ni  0.0000  0.0000  0.0000
Pd  0.5000  0.5000  0.0000

---

3.
DFT (PBE-GGA) results for an optimized crystal structure of CoNiGe2.

Energy of formation from the pure elements: -0.03 eV/atom
Magnetization: 0.0872 μB per atom
Symmetry: P4/mmm, No. 123

Cell lengths 4.1939, 4.1939, 2.9050 Å; angles 90.00, 90.00, 90.00 degrees
Atoms (fractional coordinates):
Co  0.0000  0.0000  0.0000
Ni  0.5000  0.5000  0.0000
Ge  0.0000  0.5000  0.5000
Ge  0.5000  0.0000  0.5000

---

4.
DFT (PBE-GGA) results for an optimized crystal structure of MnNbGaOs.

Energy of formation from the pure elements: -0.17 eV/atom
Magnetization: 0.2460 μB per atom
Symmetry: F-43m, No. 216

Cell lengths 4.3481, 4.3481, 4.3481 Å; angles 60.00, 60.00, 60.00 degrees
Atoms (fractional coordinates):
Mn  0.0000  0.0000  0.0000
Nb  0.2500  0.2500  0.2500
Ga  0.7500  0.7500  0.7500
Os  0.5000  0.5000  0.5000

---

5.
DFT (PBE-GGA) results for an optimized crystal structure of Li2HoEr2Tl2.

Energy of formation from the pure elements: -0.16 eV/atom
Magnetization: 0.0000 μB per atom
Symmetry: R-3m, No. 166

Cell lengths 9.2878, 9.2878, 9.2878 Å; angles 29.93, 29.93, 29.93 degrees
Atoms (fractional coordinates):
Li  0.1023  0.1023  0.1023
Li  0.8977  0.8977  0.8977
Ho  0.5000  0.5000  0.5000
Er  0.3728  0.3728  0.3728
Er  0.6272  0.6272  0.6272
Tl  0.2383  0.2383  0.2383
Tl  0.7617  0.7617  0.7617

---

6.
DFT (PBE-GGA) results for an optimized crystal structure of YSiS3.

Relative energy among the computed polymorphs: 0.00 eV per formula unit
Magnetization: 0.0000 μB per atom
Formation energy without anion corrections: -629 kJ/mol of formula units
Symmetry: P2_1/c, No. 14

Cell lengths 6.5227, 7.2155, 10.9756 Å; angles 90.00, 123.36, 90.00 degrees
Atoms (fractional coordinates):
Y  0.2100  0.1261  0.2526
Y  0.2100  0.3739  0.7526
Y  0.7900  0.6261  0.2474
Y  0.7900  0.8739  0.7474
Si  0.1488  0.6053  0.0675
Si  0.1488  0.8947  0.5675
Si  0.8512  0.1053  0.4325
Si  0.8512  0.3947  0.9325
S  0.0679  0.1765  0.9250
S  0.0679  0.3235  0.4250
S  0.2815  0.6897  0.9373
S  0.2815  0.8103  0.4373
S  0.4182  0.0224  0.7670
S  0.4182  0.4776  0.2670
S  0.5818  0.5224  0.7330
S  0.5818  0.9776  0.2330
S  0.7185  0.1897  0.5627
S  0.7185  0.3103  0.0627
S  0.9321  0.6765  0.5750
S  0.9321  0.8235  0.0750

---

7.
DFT (PBE-GGA) results for an optimized crystal structure of ErZrZn.

Energy of formation from the pure elements: 0.16 eV/atom
Relative energy among the computed polymorphs: 0.98 eV per formula unit
Magnetization: 0.0001 μB per atom
Symmetry: P4/nmm, No. 129

Cell lengths 4.7212, 4.7212, 6.6582 Å; angles 90.00, 90.00, 90.00 degrees
Atoms (fractional coordinates):
Er  0.2500  0.7500  0.0000
Er  0.7500  0.2500  0.0000
Zr  0.2500  0.7500  0.5000
Zr  0.7500  0.2500  0.5000
Zn  0.2500  0.2500  0.2663
Zn  0.7500  0.7500  0.7337

---

8.
DFT (PBE-GGA) results for an optimized crystal structure of LiYMo2.

Energy of formation from the pure elements: 0.52 eV/atom
Relative energy among the computed polymorphs: 1.03 eV per formula unit
Magnetization: 0.0000 μB per atom
Symmetry: C2/m, No. 12

Cell lengths 5.7736, 5.7736, 2.7910 Å; angles 99.77, 99.77, 123.40 degrees
Atoms (fractional coordinates):
Li  0.0000  0.0000  0.0000
Y  0.5000  0.5000  0.0000
Mo  0.0000  0.5000  0.5000
Mo  0.5000  0.0000  0.5000

---

9.
DFT (PBE-GGA) results for an optimized crystal structure of NiPOs.

Energy of formation from the pure elements: 0.30 eV/atom
Magnetization: 0.0000 μB per atom
Symmetry: Fmm2, No. 42

Cell lengths 6.1296, 5.8260, 2.8206 Å; angles 82.44, 70.42, 27.14 degrees
Atoms (fractional coordinates):
Ni  0.0000  0.0000  0.0000
P  0.3554  0.3554  0.6446
Os  0.7002  0.7002  0.2998

---

10.
DFT (PBE-GGA) results for an optimized crystal structure of V2ReMo5W.

Energy of formation from the pure elements: 0.37 eV/atom
Magnetization: 0.0000 μB per atom
Symmetry: Cmc2_1, No. 36

Cell lengths 7.6536, 7.6536, 12.8834 Å; angles 90.00, 90.00, 157.71 degrees
Atoms (fractional coordinates):
V  0.1403  0.8597  0.5000
V  0.1438  0.8562  0.1879
V  0.8562  0.1438  0.6879
V  0.8597  0.1403  0.0000
Re  0.4112  0.5888  0.3254
Re  0.5888  0.4112  0.8254
Mo  0.0374  0.9626  0.9868
Mo  0.3055  0.6945  0.1611
Mo  0.3109  0.6891  0.5208
Mo  0.4158  0.5842  0.8416
Mo  0.4855  0.5145  0.1429
Mo  0.5145  0.4855  0.6429
Mo  0.5842  0.4158  0.3416
Mo  0.6891  0.3109  0.0208
Mo  0.6945  0.3055  0.6611
Mo  0.9626  0.0374  0.4868
W  0.2417  0.7583  0.8461
W  0.7583  0.2417  0.3461

---

11.
DFT (PBE-GGA) results for an optimized crystal structure of Tb2Pr6SmHo3.

Energy of formation from the pure elements: 0.01 eV/atom
Magnetization: 0.0000 μB per atom
Symmetry: C2/m, No. 12

Cell lengths 6.3178, 6.3178, 11.9198 Å; angles 95.05, 95.05, 120.00 degrees
Atoms (fractional coordinates):
Tb  0.1666  0.8334  0.0000
Tb  0.8334  0.1666  0.0000
Pr  0.0822  0.4159  0.7483
Pr  0.2505  0.2505  0.2517
Pr  0.4159  0.0822  0.7483
Pr  0.5841  0.9178  0.2517
Pr  0.7495  0.7495  0.7483
Pr  0.9178  0.5841  0.2517
Sm  0.5000  0.5000  0.0000
Ho  0.0000  0.0000  0.5000
Ho  0.3332  0.6668  0.5000
Ho  0.6668  0.3332  0.5000

---

12.
DFT (PBE-GGA) results for an optimized crystal structure of Cu2Hg2H.

E: -2.083 eV per atom
Magnetization: 0.0000 μB per atom
Symmetry: P4/mbm, No. 127

Cell lengths 5.5338, 5.5338, 5.0142 Å; angles 90.00, 90.00, 90.00 degrees
Atoms (fractional coordinates):
Cu  0.1786  0.3214  0.0000
Cu  0.3214  0.8214  0.0000
Cu  0.6786  0.1786  0.0000
Cu  0.8214  0.6786  0.0000
Hg  0.1802  0.6802  0.5000
Hg  0.3198  0.1802  0.5000
Hg  0.6802  0.8198  0.5000
Hg  0.8198  0.3198  0.5000
H  0.0000  0.0000  0.0000
H  0.5000  0.5000  0.0000